{"formula": "Ac5Tl8Cd", "functional": "PBE", "state": "optimized geometry", "lattice": [[-5.561, 5.169, -3.950], [-4.113, -7.130, 2.345], [3.260, 3.683, 7.004]], "species": ["Ac", "Ac", "Ac", "Ac", "Ac", "Tl", "Tl", "Tl", "Tl", "Tl", "Tl", "Tl", "Tl", "Cd"], "frac_coords": [[0.970, 0.352, 0.104], [0.896, 0.865, 0.247], [0.753, 0.648, 0.618], [0.500, 0.000, 0.500], [0.382, 0.135, 0.030], [0.128, 0.720, 0.014], [0.986, 0.115, 0.707], [0.825, 0.268, 0.413], [0.587, 0.411, 0.854], [0.443, 0.589, 0.175], [0.592, 0.885, 0.872], [0.293, 0.280, 0.408], [0.146, 0.732, 0.557], [0.250, 0.500, 0.750]], "total_energy_ev_per_atom": -3.11, "density_g_cm3": 9.93, "delta_e_f_ev_per_atom": -0.23}